The following is a PBE-GGA calculation of crystalline Y3Ho2Sb2 at its relaxed geometry, from Alexandria via LeMat-Bulk.

Results
E_form (uncorrected)   -648 meV per atom
Volume   206 Å³/cell
Density   6.8 g/cm³
SG   C2/m, No. 12
Fermi-level density of states   7.26 states/eV per cell

Cell lengths 4.2297, 6.4557, 8.4543 Å; angles 107.74, 90.00, 109.12 degrees
Closest atoms and distances in Å follow each position.
Atoms (fractional coordinates):
Y 0.5000 0.0000 0.0000  4 Sb 3.07
Y 0.6251 0.2503 0.4461  3 Sb 3.20-3.23, 4 Y 3.46-3.58, 2 Ho 3.54
Y 0.3749 0.7497 0.5539  3 Sb 3.20-3.23, 4 Y 3.46-3.58, 2 Ho 3.54
Ho 0.8662 0.7324 0.2140  3 Sb 3.11-3.32
Ho 0.1338 0.2676 0.7860  3 Sb 3.11-3.32
Sb 0.8250 0.6500 0.8067  5 Y 3.07-3.23, 3 Ho 3.11-3.32
Sb 0.1750 0.3500 0.1933  5 Y 3.07-3.23, 3 Ho 3.11-3.32

***

The following is a PBE-GGA calculation of crystalline SmDyS at its relaxed geometry, from Alexandria via LeMat-Bulk.

Results
E_form (uncorrected)   -1268 meV per atom
Volume   81 Å³/cell
Density   7.1 g/cm³
SG   P3m1, No. 156
Fermi-level density of states   1.19 states/eV per cell

Cell lengths 3.8240, 3.8240, 6.4125 Å; angles 90.00, 90.00, 120.00 degrees
Closest atoms and distances in Å follow each position.
Atoms (fractional coordinates):
S 0.3333 0.6667 0.6608  3 Dy 2.74, 3 Sm 2.81
Sm 0.0000 0.0000 0.9316  3 S 2.81
Dy 0.6667 0.3333 0.4076  3 S 2.74

***

The following is a PBE-GGA calculation of crystalline CuPd2Au at its relaxed geometry, from Alexandria via LeMat-Bulk.

Results
ΔE_f   18.8 kJ/mol of atoms
Volume   66 Å³/cell
Density   11.8 g/cm³
SG   Immm, No. 71
Fermi-level density of states   3.42 states/eV per cell

Cell lengths 5.9343, 5.9343, 5.9343 Å; angles 53.57, 153.48, 134.35 degrees
Closest atoms and distances in Å follow each position.
Atoms (fractional coordinates):
Cu 0.0000 0.0000 0.0000  2 Pd 2.52, 4 Au 2.67, 2 Cu 2.72
Pd 0.0000 0.2377 0.2377  1 Cu 2.52, 6 Pd 2.69-2.72, 1 Au 2.78
Pd 0.0000 0.7623 0.7623  1 Cu 2.52, 6 Pd 2.69-2.72, 1 Au 2.78
Au 0.0000 0.5000 0.5000  4 Cu 2.67, 2 Au 2.72, 2 Pd 2.78

***

The following is a PBE-GGA calculation of crystalline Ti4GaGe at its relaxed geometry, from Alexandria via LeMat-Bulk.

Results
ΔE_f   -39.1 kJ/mol of atoms
Volume   194 Å³/cell
Density   5.7 g/cm³
SG   Cmmm, No. 65
Fermi-level density of states   8.66 states/eV per cell

Cell lengths 8.9491, 4.6647, 4.6579 Å; angles 90.00, 90.00, 90.00 degrees
Closest atoms and distances in Å follow each position.
Atoms (fractional coordinates):
Ti 0.8359 0.5000 0.0000  2 Ga 2.75, 3 Ge 2.76-3.01, 5 Ti 2.79-2.94
Ti 0.6641 0.0000 0.0000  2 Ga 2.75, 3 Ge 2.76-3.01, 5 Ti 2.79-2.94
Ti 0.3362 0.5000 0.5000  2 Ge 2.75, 3 Ga 2.75-3.01, 5 Ti 2.79-2.93
Ti 0.1638 0.0000 0.5000  2 Ge 2.75, 3 Ga 2.75-3.01, 5 Ti 2.79-2.93
Ti 0.1641 0.5000 0.0000  2 Ga 2.75, 3 Ge 2.76-3.01, 5 Ti 2.79-2.94
Ti 0.3359 0.0000 0.0000  2 Ga 2.75, 3 Ge 2.76-3.01, 5 Ti 2.79-2.94
Ti 0.6638 0.5000 0.5000  2 Ge 2.75, 3 Ga 2.75-3.01, 5 Ti 2.79-2.93
Ti 0.8362 0.0000 0.5000  2 Ge 2.75, 3 Ga 2.75-3.01, 5 Ti 2.79-2.93
Ga 0.5000 0.0000 0.5000  10 Ti 2.75-3.01
Ga 0.0000 0.5000 0.5000  10 Ti 2.75-3.01
Ge 0.0000 0.0000 0.0000  10 Ti 2.75-3.01
Ge 0.5000 0.5000 0.0000  10 Ti 2.75-3.01

***

The following is a PBE-GGA calculation of crystalline TaPb2Se at its relaxed geometry, from Alexandria via LeMat-Bulk.

Results
E_form (uncorrected)   478 meV per atom
Volume   95 Å³/cell
Density   11.8 g/cm³
SG   P4/mmm, No. 123
Fermi-level density of states   2.77 states/eV per cell

Cell lengths 5.3192, 5.3192, 3.3476 Å; angles 90.00, 90.00, 90.00 degrees
Closest atoms and distances in Å follow each position.
Atoms (fractional coordinates):
Pb 0.0000 0.0000 0.0000  4 Ta 3.14, 4 Se 3.14, 2 Pb 3.35
Pb 0.5000 0.5000 0.0000  4 Se 3.14, 4 Ta 3.14, 2 Pb 3.35
Se 0.5000 0.0000 0.5000  8 Pb 3.14, 2 Se 3.35
Ta 0.0000 0.5000 0.5000  8 Pb 3.14, 2 Ta 3.35

***

The following is a PBE-GGA calculation of crystalline Ca2Y2Se at its relaxed geometry, from Alexandria via LeMat-Bulk.

Results
E_form (uncorrected)   -448 meV per atom
Volume   349 Å³/cell
Density   3.2 g/cm³
SG   P4/mbm, No. 127
Fermi-level density of states   12.50 states/eV per cell

Cell lengths 7.5589, 7.5589, 6.1001 Å; angles 90.00, 90.00, 90.00 degrees
Closest atoms and distances in Å follow each position.
Atoms (fractional coordinates):
Y 0.3402 0.8402 0.0000  2 Se 2.84
Y 0.8402 0.6598 0.0000  2 Se 2.84
Y 0.6598 0.1598 0.0000  2 Se 2.84
Y 0.1598 0.3402 0.0000  2 Se 2.84
Ca 0.1583 0.6583 0.5000  1 Ca 3.39, 2 Y 3.62
Ca 0.6583 0.8417 0.5000  1 Ca 3.39, 2 Y 3.62
Ca 0.8417 0.3417 0.5000  1 Ca 3.39, 2 Y 3.62
Ca 0.3417 0.1583 0.5000  1 Ca 3.39, 2 Y 3.62
Se 0.0000 0.0000 0.0000  4 Y 2.84
Se 0.5000 0.5000 0.0000  4 Y 2.84

***

The following is a PBE-GGA calculation of crystalline PuMg2Zr at its relaxed geometry, from Alexandria via LeMat-Bulk.

Results
ΔE_f   28.8 kJ/mol of atoms
Volume   94 Å³/cell
Density   6.8 g/cm³
SG   R-3m, No. 166
Fermi-level density of states   6.62 states/eV per cell

Cell lengths 3.0128, 3.0128, 12.1142 Å; angles 82.86, 82.86, 60.00 degrees
Closest atoms and distances in Å follow each position.
Atoms (fractional coordinates):
Mg 0.0859 0.0859 0.7423  6 Mg 3.01, 1 Zr 3.09
Mg 0.9141 0.9141 0.2577  6 Mg 3.01, 1 Zr 3.09
Zr 0.0000 0.0000 0.0000  6 Zr 3.01, 2 Mg 3.09
Pu 0.5000 0.5000 0.5000  6 Pu 3.01

***

The following is a PBE-GGA calculation of crystalline Cd3PCl3 at its relaxed geometry, from Alexandria via LeMat-Bulk.

Results
E_form (uncorrected)   -742 meV per atom
Volume   379 Å³/cell
Density   4.2 g/cm³
SG   P-3m1, No. 164
Fermi-level density of states   0.00 states/eV per cell

Cell lengths 7.7770, 7.7770, 7.2290 Å; angles 90.00, 90.00, 120.00 degrees
Closest atoms and distances in Å follow each position.
Atoms (fractional coordinates):
Cd 0.6667 0.3333 0.4876  1 P 2.49, 3 Cl 2.64
Cd 0.3333 0.6667 0.5124  1 P 2.49, 3 Cl 2.64
Cd 0.5000 0.5000 0.0000  2 P 2.47
Cd 0.0000 0.5000 0.0000  2 P 2.47
Cd 0.5000 0.0000 0.0000  2 P 2.47
Cd 0.0000 0.0000 0.5000  6 Cl 2.69
P 0.6667 0.3333 0.1438  4 Cd 2.47-2.49
P 0.3333 0.6667 0.8562  4 Cd 2.47-2.49
Cl 0.3415 0.1708 0.6926  2 Cd 2.64-2.69
Cl 0.8292 0.6585 0.6926  2 Cd 2.64-2.69
Cl 0.6585 0.8292 0.3074  2 Cd 2.64-2.69
Cl 0.1708 0.3415 0.3074  2 Cd 2.64-2.69
Cl 0.1708 0.8292 0.3074  2 Cd 2.64-2.69
Cl 0.8292 0.1708 0.6926  2 Cd 2.64-2.69

***

Q: Fermi-level density of states of number 4 (Ti4GaGe)?
A: 8.66 states/eV per cell